A relaxed structure of YTl2AgCl6. Source: OQMD via LeMat-Bulk, functional PBE.

Properties
Total DFT energy (no corrections): -156.13 eV for the cell shown
M_tot: 0.0 μB per formula unit

Lattice parameters (Å, degrees): 10.6240 10.6240 10.6240 90.00 90.00 90.00
Space group Fm-3m (No. 225)
Unique sites:
Y1 0.0000 0.0000 0.0000
Tl1 0.2500 0.2500 0.2500
Ag1 0.0000 0.0000 0.5000
Cl1 0.0000 0.0000 0.2468


A relaxed structure of HoMgInSe3. Source: OQMD via LeMat-Bulk, functional PBE.

Properties
Total DFT energy (no corrections): -106.47 eV for the cell shown
M_tot: 0.0 μB per formula unit

Lattice parameters (Å, degrees): 4.1911 14.5269 11.0994 90.00 90.00 90.00
Space group Cmcm (No. 63)
Unique sites:
Ho1 0.0000 0.0000 0.0000
Mg1 0.0000 0.4630 0.2500
In1 0.0000 0.2480 0.7500
Se1 0.0000 0.0681 0.2500
Se2 0.0000 0.3713 0.0558


A relaxed structure of NdAg3S3. Source: OQMD via LeMat-Bulk, functional PBE.

Properties
Total DFT energy (no corrections): -183.90 eV for the cell shown
M_tot: 0.0 μB per formula unit

Lattice parameters (Å, degrees): 11.4904 11.4904 7.9082 90.00 90.00 120.00
Space group R3c (No. 161, hexagonal axes)
Unique sites:
Nd1 0.0000 0.0000 0.0000
Ag1 0.0575 0.3342 0.0265
S1 0.0989 0.2102 0.7541


A relaxed structure of BeAlPt. Source: OQMD via LeMat-Bulk, functional PBE.

Properties
Energy relative to the lowest polymorph listed for this composition: 326 meV per atom
M_tot: 0.0 μB per formula unit

Lattice parameters (Å, degrees): 5.6621 5.6621 5.6621 90.00 90.00 90.00
Space group F-43m (No. 216)
Unique sites:
Be1 0.0000 0.0000 0.0000
Al1 0.2500 0.2500 0.2500
Pt1 0.0000 0.0000 0.5000


A relaxed structure of Tb2ErIn3PtAu2. Source: OQMD via LeMat-Bulk, functional PBE.

Properties
Total DFT energy (no corrections): -84.29 eV for the cell shown
M_tot: 0.0 μB per formula unit

Lattice parameters (Å, degrees): 3.9564 13.3482 7.7286 90.00 90.00 90.00
Space group Amm2 (No. 38)
Unique sites:
Tb1 0.0000 0.2007 0.0000
Er1 0.0000 0.0000 0.6013
In1 0.5000 0.0000 0.9440
In2 0.5000 0.1278 0.3297
Pt1 0.0000 0.0000 0.2026
Au1 0.5000 0.1654 0.7003


A relaxed structure of MgNbCuB. Source: OQMD via LeMat-Bulk, functional PBE.

Properties
Energy relative to the lowest polymorph listed for this composition: 0 meV per atom
M_tot: 0.0 μB per formula unit

Lattice parameters (Å, degrees): 5.9533 5.9533 5.9533 90.00 90.00 90.00
Space group F-43m (No. 216)
Unique sites:
Mg1 0.0000 0.0000 0.0000
Nb1 0.2500 0.2500 0.2500
Cu1 0.2500 0.2500 0.7500
B1 0.0000 0.0000 0.5000